(1)
Below is crystalline MgAlOs2 at its relaxed geometry, with properties calculated at the PBE level.

**E**: -6.785 eV per atom
**DFT formation energy**: 164 meV/atom
**Theoretical density**: 12.055 Mg/m³

Unit cell a=4.8074 b=4.8074 c=2.7290 alpha=90.00 beta=90.00 gamma=109.44
Element x y z (fractional)
1 Os 0.5000 0.5000 0.0000
2 Os 0.0000 0.0000 0.0000
3 Mg 0.0000 0.5000 0.5000
4 Al 0.5000 0.0000 0.5000

---

(2)
Below is crystalline MgAlOs at its relaxed geometry, with properties calculated at the PBE level.

**E**: -5.674 eV per atom
**DFT formation energy**: -152 meV/atom
**Theoretical density**: 8.599 Mg/m³

Unit cell a=4.4916 b=9.1639 c=4.5322 alpha=90.00 beta=90.00 gamma=90.00
Element x y z (fractional)
1 Mg 0.0000 0.4155 0.2500
2 Mg 0.0000 0.5845 0.7500
3 Mg 0.5000 0.0845 0.7500
4 Mg 0.5000 0.9155 0.2500
5 Al 0.5000 0.6162 0.2500
6 Al 0.0000 0.8838 0.7500
7 Al 0.0000 0.1162 0.2500
8 Al 0.5000 0.3838 0.7500
9 Os 0.0000 0.7485 0.2500
10 Os 0.0000 0.2515 0.7500
11 Os 0.5000 0.2485 0.2500
12 Os 0.5000 0.7515 0.7500

---

Question: theoretical density of number 2 (MgAlOs)?
Answer: 8.599 Mg/m³

---

Question: Number 1 is which compound?
Answer: MgAlOs2

---

Question: Which of these has the lowest DFT formation energy?
Answer: MgAlOs

---

Question: Look up the theoretical density of the first one.
Answer: 12.055 Mg/m³